BaTlRuCl2: optimized geometry, PBE.

Formation energy without anion corrections   -0.080 eV/atom
Final energy   -3.53 eV per atom
Magnetization   2.24 μB per formula unit

Geometry as POSCAR:
```
BaTlRuCl2
1.0
5.9700 0.0000 0.0000
0.0000 5.9700 0.0000
0.0000 0.0000 5.6458
Ba Tl Ru Cl
1 1 1 2
Direct
0.0000 0.0000 0.0000 Ba
0.5000 0.5000 0.5000 Tl
0.0000 0.0000 0.5000 Ru
0.0000 0.5000 0.0000 Cl
0.5000 0.0000 0.0000 Cl
```

---

LaDy2Ho8: optimized geometry, PBE.

Formation energy from the elements   178 meV/atom
Final energy   -4.44 eV per atom
ΔE to the lowest computed polymorph   58 meV/atom
Magnetization   0.00 μB per formula unit

Geometry as POSCAR:
```
LaDy2Ho8
1.0
8.4583 -3.2731 0.0000
8.4583 3.2731 0.0000
-1.6824 0.0000 6.4497
La Dy Ho
1 2 8
Direct
0.0000 0.0000 0.0000 La
0.2557 0.2557 0.9143 Dy
0.7443 0.7443 0.0857 Dy
0.1627 0.6449 0.3242 Ho
0.2098 0.2098 0.3700 Ho
0.3551 0.8373 0.6758 Ho
0.4275 0.4275 0.7882 Ho
0.5725 0.5725 0.2118 Ho
0.6449 0.1627 0.3242 Ho
0.7902 0.7902 0.6300 Ho
0.8373 0.3551 0.6758 Ho
```

---

CsBaAlPb2: optimized geometry, PBE.

Formation energy from the elements   799 meV/atom
Final energy   -1.99 eV per atom
Magnetization   0.00 μB per formula unit

Geometry as POSCAR:
```
CsBaAlPb2
1.0
6.3435 0.0000 0.0000
0.0000 6.3435 0.0000
0.0000 0.0000 5.9817
Cs Ba Al Pb
1 1 1 2
Direct
0.0000 0.0000 0.0000 Cs
0.5000 0.5000 0.5000 Ba
0.0000 0.0000 0.5000 Al
0.0000 0.5000 0.0000 Pb
0.5000 0.0000 0.0000 Pb
```

---

Cr2InSn: optimized geometry, PBE.

Formation energy from the elements   712 meV/atom
Final energy   -5.79 eV per atom
Magnetization   7.06 μB per formula unit

Geometry as POSCAR:
```
Cr2InSn
1.0
-3.7432 3.7432 3.0440
3.7432 -3.7432 3.0440
3.7432 3.7432 -3.0440
Cr In Sn
4 2 2
Direct
0.1184 0.1250 0.4934 Cr
0.3750 0.8816 0.0066 Cr
0.6316 0.6250 0.5066 Cr
0.8750 0.3684 0.9934 Cr
0.2500 0.7500 0.5000 In
0.5000 0.5000 0.0000 In
0.0000 0.0000 0.0000 Sn
0.7500 0.2500 0.5000 Sn
```

---

Sn8BiAu6: optimized geometry, PBE.

Formation energy from the elements   -66 meV/atom
Final energy   -3.77 eV per atom
Magnetization   0.00 μB per formula unit

Geometry as POSCAR:
```
Sn8BiAu6
1.0
9.9467 0.0000 0.0000
-4.9734 8.6141 0.0000
0.0000 0.0000 4.4547
Sn Bi Au
8 1 6
Direct
0.0636 0.3213 0.2712 Sn
0.2578 0.9364 0.2712 Sn
0.3213 0.2578 0.7288 Sn
0.3333 0.6667 0.7820 Sn
0.6667 0.3333 0.2180 Sn
0.6787 0.7422 0.2712 Sn
0.7422 0.0636 0.7288 Sn
0.9364 0.6787 0.7288 Sn
0.0000 0.0000 0.0000 Bi
0.0732 0.6163 0.2358 Au
0.3837 0.4568 0.2358 Au
0.4568 0.0732 0.7642 Au
0.5432 0.9268 0.2358 Au
0.6163 0.5432 0.7642 Au
0.9268 0.3837 0.7642 Au
```

---

BaCdTcO6: optimized geometry, PBE.

Formation energy without anion corrections   -1.419 eV/atom
Final energy   -6.19 eV per atom
Magnetization   1.07 μB per formula unit

Geometry as POSCAR:
```
BaCdTcO6
1.0
5.4349 0.0000 0.0000
-0.1462 5.6288 0.0000
-0.0658 -2.7077 4.9632
Ba Cd Tc O
1 1 1 6
Direct
0.0000 0.0000 0.0000 Ba
0.5273 0.3158 0.6689 Cd
0.5085 0.6600 0.3324 Tc
0.3111 0.6287 0.0583 O
0.3320 0.3794 0.3698 O
0.3334 0.9247 0.6088 O
0.7081 0.3831 0.0350 O
0.7451 0.5836 0.5612 O
0.7460 0.9160 0.3781 O
```

---

Ba2CaTlAs: optimized geometry, PBE.

Formation energy from the elements   -546 meV/atom
Final energy   -3.12 eV per atom
Magnetization   0.65 μB per formula unit

Geometry as POSCAR:
```
Ba2CaTlAs
1.0
6.4112 0.0000 0.0000
0.0000 6.4112 0.0000
0.0000 0.0000 5.5562
Ba Ca Tl As
2 1 1 1
Direct
0.0000 0.5000 0.0000 Ba
0.5000 0.0000 0.0000 Ba
0.0000 0.0000 0.5000 Ca
0.5000 0.5000 0.5000 Tl
0.0000 0.0000 0.0000 As
```

---

Li5MgZn2: optimized geometry, PBE.

Formation energy from the elements   -99 meV/atom
Final energy   -1.81 eV per atom
ΔE to the lowest computed polymorph   0 meV/atom
Magnetization   0.00 μB per formula unit

Geometry as POSCAR:
```
Li5MgZn2
1.0
5.8879 0.0000 0.0000
0.0000 11.7834 0.0000
0.0000 0.0000 3.9746
Li Mg Zn
10 2 4
Direct
0.0000 0.0000 0.0000 Li
0.0169 0.2476 0.0000 Li
0.2338 0.8704 0.5000 Li
0.2662 0.3704 0.5000 Li
0.4831 0.7476 0.0000 Li
0.5000 0.5000 0.0000 Li
0.5169 0.2524 0.0000 Li
0.7338 0.6296 0.5000 Li
0.7662 0.1296 0.5000 Li
0.9831 0.7524 0.0000 Li
0.0000 0.5000 0.0000 Mg
0.5000 0.0000 0.0000 Mg
0.2471 0.6275 0.5000 Zn
0.2529 0.1275 0.5000 Zn
0.7471 0.8725 0.5000 Zn
0.7529 0.3725 0.5000 Zn
```

---

H4SeI2: optimized geometry, PBE.

Final energy   -2.85 eV per atom
ΔE to the lowest computed polymorph   3 meV/atom
Magnetization   0.00 μB per formula unit

Geometry as POSCAR:
```
H4SeI2
1.0
6.9522 0.0000 0.0000
0.0000 7.5754 0.0000
-3.4585 0.0000 7.5390
H Se I
8 2 4
Direct
0.1237 0.2500 0.4586 H
0.2012 0.1098 0.8987 H
0.2012 0.3902 0.8987 H
0.3321 0.7500 0.4458 H
0.6679 0.2500 0.5542 H
0.7988 0.6098 0.1013 H
0.7988 0.8902 0.1013 H
0.8763 0.7500 0.5414 H
0.2829 0.2500 0.0358 Se
0.7171 0.7500 0.9642 Se
0.1300 0.7500 0.6780 I
0.4422 0.7500 0.3039 I
0.5578 0.2500 0.6961 I
0.8700 0.2500 0.3220 I
```

---

NaTbIn2: optimized geometry, PBE.

Formation energy from the elements   -129 meV/atom
Final energy   -2.99 eV per atom
ΔE to the lowest computed polymorph   181 meV/atom
Magnetization   0.00 μB per formula unit

Geometry as POSCAR:
```
NaTbIn2
1.0
1.7462 1.0082 10.7106
-1.7462 1.0082 10.7106
0.0000 -2.0164 10.7106
Na Tb In
1 1 2
Direct
0.0000 0.0000 0.0000 Na
0.5000 0.5000 0.5000 Tb
0.2489 0.2489 0.2489 In
0.7511 0.7511 0.7511 In
```

---

Be2TlCd: optimized geometry, PBE.

Formation energy from the elements   641 meV/atom
Final energy   -2.04 eV per atom
ΔE to the lowest computed polymorph   176 meV/atom
Magnetization   0.00 μB per formula unit

Geometry as POSCAR:
```
Be2TlCd
1.0
3.6894 0.0000 0.0000
0.0000 3.6894 0.0000
0.0000 0.0000 5.1046
Be Tl Cd
2 1 1
Direct
0.0000 0.0000 0.0000 Be
0.5000 0.5000 0.2698 Be
0.5000 0.5000 0.7906 Tl
0.0000 0.0000 0.4701 Cd
```

---

TbPaTc2: optimized geometry, PBE.

Formation energy from the elements   -123 meV/atom
Final energy   -8.84 eV per atom
ΔE to the lowest computed polymorph   73 meV/atom
Magnetization   0.00 μB per formula unit

Geometry as POSCAR:
```
TbPaTc2
1.0
0.0000 3.4317 3.4317
3.4317 0.0000 3.4317
3.4317 3.4317 0.0000
Tb Pa Tc
1 1 2
Direct
0.0000 0.0000 0.0000 Tb
0.5000 0.5000 0.5000 Pa
0.2500 0.2500 0.2500 Tc
0.7500 0.7500 0.7500 Tc
```